No. 1
A relaxed structure of BaNi2Pt. Source: Alexandria via LeMat-Bulk, functional PBE.

Values from the calculation:
N(E_F) (states/eV/f.u.): 4.3
E_form (meV per atom): -66

a = 4.7253 Å, b = 4.7253 Å, c = 9.1576 Å
α = 75.05°, β = 75.05°, γ = 90.00°
Closest atoms and distances in Å follow each position.
Atoms (fractional coordinates):
1 Ni 0.3750 0.1241 0.7500  2 Ni 2.36, 2 Pt 2.44
2 Ni 0.8759 0.1250 0.2500  2 Ni 2.36, 2 Pt 2.44
3 Ni 0.8741 0.6250 0.2500  2 Ni 2.36, 2 Pt 2.44
4 Ni 0.8750 0.1259 0.7500  2 Ni 2.36, 2 Pt 2.44
5 Ba 0.5000 0.5000 0.0000  4 Pt 3.34, 8 Ni 3.39-3.40
6 Ba 0.2500 0.7500 0.5000  4 Pt 3.34, 8 Ni 3.39-3.40
7 Pt 0.7500 0.2500 0.5000  4 Ni 2.44
8 Pt 0.0000 0.0000 0.0000  4 Ni 2.44


No. 2
A relaxed structure of BeCd2W. Source: Alexandria via LeMat-Bulk, functional PBE.

Values from the calculation:
N(E_F) (states/eV/f.u.): 1.7
E_form (meV per atom): 466

a = 3.5235 Å, b = 2.8056 Å, c = 7.0714 Å
α = 78.66°, β = 90.00°, γ = 90.00°
Closest atoms and distances in Å follow each position.
Atoms (fractional coordinates):
1 Be 0.5000 0.9678 0.6930  4 W 2.41, 2 Cd 2.58
2 W 0.0000 0.5289 0.5680  4 Be 2.41
3 Cd 0.5000 0.1749 0.2734  6 Cd 2.81-3.10, 1 Be 2.91, 4 W 3.04
4 Cd 0.0000 0.8284 0.9655  2 Be 2.58, 2 Cd 2.81


No. 3
A relaxed structure of BeZn2Ru. Source: Alexandria via LeMat-Bulk, functional PBE.

Values from the calculation:
N(E_F) (states/eV/f.u.): 1.5
E_form (meV per atom): 188

a = 8.3967 Å, b = 8.3967 Å, c = 8.3967 Å
α = 18.52°, β = 18.52°, γ = 18.52°
Closest atoms and distances in Å follow each position.
Atoms (fractional coordinates):
1 Zn 0.5047 0.5047 0.5047  3 Be 2.49, 3 Ru 2.68, 6 Zn 2.70
2 Zn 0.9953 0.9953 0.9953  3 Be 2.49, 3 Ru 2.68, 6 Zn 2.70
3 Ru 0.7500 0.7500 0.7500  6 Zn 2.68, 6 Ru 2.70
4 Be 0.2500 0.2500 0.2500  6 Zn 2.49, 6 Be 2.70


No. 4
A relaxed structure of Dy4AlInAg2. Source: Alexandria via LeMat-Bulk, functional PBE.

Values from the calculation:
N(E_F) (states/eV/f.u.): 5.8
E_form (meV per atom): -371

a = 5.2028 Å, b = 5.2028 Å, c = 9.0102 Å
α = 73.22°, β = 73.22°, γ = 60.00°
Closest atoms and distances in Å follow each position.
Atoms (fractional coordinates):
1 Dy 0.3774 0.3774 0.8678  1 Al 3.12, 4 Ag 3.17-3.26, 3 In 3.21
2 Dy 0.8726 0.8726 0.3822  4 Ag 3.12-3.20, 3 Al 3.17, 1 In 3.25
3 Dy 0.6226 0.6226 0.1322  1 Al 3.12, 4 Ag 3.17-3.26, 3 In 3.21
4 Dy 0.1274 0.1274 0.6178  4 Ag 3.12-3.20, 3 Al 3.17, 1 In 3.25
5 Al 0.5000 0.5000 0.5000  8 Dy 3.12-3.17
6 In 0.0000 0.0000 0.0000  8 Dy 3.21-3.25
7 Ag 0.7504 0.7504 0.7489  8 Dy 3.12-3.26
8 Ag 0.2496 0.2496 0.2511  8 Dy 3.12-3.26


No. 5
A relaxed structure of In2ReCl. Source: Alexandria via LeMat-Bulk, functional PBE.

Values from the calculation:
N(E_F) (states/eV/f.u.): 2.3
Raw formation energy (eV per atom): 0.809
ΔE to the lowest computed polymorph (eV/atom): 0.537

a = 6.6060 Å, b = 6.6060 Å, c = 6.6060 Å
α = 144.71°, β = 144.71°, γ = 50.76°
Closest atoms and distances in Å follow each position.
Atoms (fractional coordinates):
1 In 0.0000 0.0000 0.0000  4 Re 2.83
2 In 0.2500 0.7500 0.5000  4 Cl 2.83
3 Re 0.5000 0.5000 0.0000  4 In 2.83
4 Cl 0.7500 0.2500 0.5000  4 In 2.83


No. 6
A relaxed structure of PrTm2In2Hg2. Source: Alexandria via LeMat-Bulk, functional PBE.

Values from the calculation:
N(E_F) (states/eV/f.u.): 4.4
E_form (meV per atom): -299

a = 4.9580 Å, b = 4.9580 Å, c = 9.3340 Å
α = 74.60°, β = 74.60°, γ = 60.00°
Closest atoms and distances in Å follow each position.
Atoms (fractional coordinates):
1 In 0.2646 0.2646 0.2063  3 Hg 2.98, 3 Tm 3.34
2 In 0.7354 0.7354 0.7937  3 Hg 2.98, 3 Tm 3.34
3 Hg 0.4338 0.4338 0.6987  3 In 2.98, 3 Tm 2.99
4 Hg 0.5662 0.5662 0.3013  3 In 2.98, 3 Tm 2.99
5 Tm 0.1331 0.1331 0.6006  3 Hg 2.99, 3 In 3.34
6 Tm 0.8669 0.8669 0.3994  3 Hg 2.99, 3 In 3.34
7 Pr 0.0000 0.0000 0.0000  6 In 3.40, 2 Tm 3.55


No. 7
A relaxed structure of Sr2Zn3CdGe4. Source: Alexandria via LeMat-Bulk, functional PBE.

Values from the calculation:
N(E_F) (states/eV/f.u.): 1.8
E_form (meV per atom): -353

a = 4.4451 Å, b = 4.4451 Å, c = 11.0000 Å
α = 90.00°, β = 90.00°, γ = 90.00°
Closest atoms and distances in Å follow each position.
Atoms (fractional coordinates):
1 Ge 0.5000 0.5000 0.0000  4 Zn 2.64
2 Ge 0.0000 0.0000 0.0000  4 Zn 2.64
3 Ge 0.0000 0.5000 0.3570  3 Zn 2.51-2.72, 2 Cd 2.72
4 Ge 0.5000 0.0000 0.6430  3 Zn 2.51-2.72, 2 Cd 2.72
5 Sr 0.0000 0.5000 0.7548  8 Ge 3.38-3.49, 6 Zn 3.39-3.58, 2 Cd 3.58
6 Sr 0.5000 0.0000 0.2452  8 Ge 3.38-3.49, 6 Zn 3.39-3.58, 2 Cd 3.58
7 Zn 0.0000 0.0000 0.5000  4 Ge 2.72
8 Zn 0.5000 0.0000 0.8710  5 Ge 2.51-2.64
9 Zn 0.0000 0.5000 0.1290  5 Ge 2.51-2.64
10 Cd 0.5000 0.5000 0.5000  4 Ge 2.72


No. 8
A relaxed structure of KTa2Os. Source: Alexandria via LeMat-Bulk, functional PBE.

Values from the calculation:
N(E_F) (states/eV/f.u.): 5.3
E_form (meV per atom): 1617
ΔE to the lowest computed polymorph (eV/atom): 1.038

a = 5.3921 Å, b = 5.3921 Å, c = 9.3547 Å
α = 73.25°, β = 73.25°, γ = 90.00°
Closest atoms and distances in Å follow each position.
Atoms (fractional coordinates):
1 K 0.2500 0.7500 0.5000  8 Ta 3.69-3.70, 4 Os 3.81
2 K 0.5000 0.5000 0.0000  8 Ta 3.69-3.70, 4 Os 3.81
3 Ta 0.8747 0.1250 0.2500  2 Os 2.53, 2 Ta 2.70
4 Ta 0.8753 0.6250 0.2500  2 Os 2.53, 2 Ta 2.70
5 Ta 0.8750 0.1247 0.7500  2 Os 2.53, 2 Ta 2.70
6 Ta 0.3750 0.1253 0.7500  2 Os 2.53, 2 Ta 2.70
7 Os 0.0000 0.0000 0.0000  4 Ta 2.53
8 Os 0.7500 0.2500 0.5000  4 Ta 2.53